# 1
Computed, not measured: an optimized crystal structure of RbBeP2O at the PBEsol level of DFT.

Cell and atoms, written as POSCAR:
```
RbBeP2O
1.0
5.3950 0.0000 0.0000
0.0000 5.3950 0.0000
0.0000 0.0000 3.9988
Rb Be P O
1 1 2 1
direct
0.0000 0.0000 0.0000 Rb
0.5000 0.5000 0.5000 Be
0.0000 0.5000 0.0000 P
0.5000 0.0000 0.0000 P
0.0000 0.0000 0.5000 O
```

E_form (uncorrected) = 2089 meV per atom
E = -11.41 eV per cell
Total moment = 0.00 μB per formula unit
Symmetry = P4/mmm (123)

# 2
Computed, not measured: an optimized crystal structure of SrBe2P2O8 at the PBEsol level of DFT.

Cell and atoms, written as POSCAR:
```
SrBe2P2O8
1.0
7.9825 0.0000 0.0000
0.0000 8.9941 0.0000
-0.0273 0.0000 8.4353
Sr Be P O
4 8 8 32
direct
0.2451 0.0875 0.3912 Sr
0.2451 0.4125 0.8912 Sr
0.7549 0.5875 0.1088 Sr
0.7549 0.9125 0.6088 Sr
0.0698 0.0810 0.7720 Be
0.0698 0.4190 0.2720 Be
0.4281 0.6926 0.4366 Be
0.4281 0.8074 0.9366 Be
0.5719 0.1926 0.0634 Be
0.5719 0.3074 0.5634 Be
0.9302 0.5810 0.7280 Be
0.9302 0.9190 0.2280 Be
0.0636 0.6952 0.4339 P
0.0636 0.8048 0.9339 P
0.4379 0.0849 0.7677 P
0.4379 0.4151 0.2677 P
0.5621 0.5849 0.7323 P
0.5621 0.9151 0.2323 P
0.9364 0.1952 0.0661 P
0.9364 0.3048 0.5661 P
0.0056 0.5876 0.3005 O
0.0056 0.9124 0.8005 O
0.0507 0.6418 0.8723 O
0.0507 0.8582 0.3723 O
0.0625 0.1831 0.9279 O
0.0625 0.3169 0.4279 O
0.2403 0.6594 0.4901 O
0.2403 0.8406 0.9901 O
0.2580 0.0906 0.6972 O
0.2580 0.4094 0.1972 O
0.4421 0.1870 0.9133 O
0.4421 0.3130 0.4133 O
0.4437 0.6380 0.8664 O
0.4437 0.8620 0.3664 O
0.4974 0.5738 0.3052 O
0.4974 0.9262 0.8052 O
0.5026 0.0738 0.1948 O
0.5026 0.4262 0.6948 O
0.5563 0.1380 0.6336 O
0.5563 0.3620 0.1336 O
0.5579 0.6870 0.5867 O
0.5579 0.8130 0.0867 O
0.7420 0.5906 0.8028 O
0.7420 0.9094 0.3028 O
0.7597 0.1594 0.0099 O
0.7597 0.3406 0.5099 O
0.9375 0.6831 0.5721 O
0.9375 0.8169 0.0721 O
0.9493 0.1418 0.6277 O
0.9493 0.3582 0.1277 O
0.9944 0.0876 0.1995 O
0.9944 0.4124 0.6995 O
```

E_form (uncorrected) = -2729 meV per atom
E = -395.58 eV per cell
Total moment = 0.00 μB per formula unit
Symmetry = P2_1/c (14)

# 3
Computed, not measured: an optimized crystal structure of SrBeP2O at the PBEsol level of DFT.

Cell and atoms, written as POSCAR:
```
SrBeP2O
1.0
5.4296 0.0000 0.0000
0.0000 5.4296 0.0000
0.0000 0.0000 4.2374
Sr Be P O
1 1 2 1
direct
0.0000 0.0000 0.0000 Sr
0.5000 0.5000 0.5000 Be
0.0000 0.5000 0.0000 P
0.5000 0.0000 0.0000 P
0.0000 0.0000 0.5000 O
```

E_form (uncorrected) = 1255 meV per atom
E = -16.40 eV per cell
Total moment = 1.47 μB per formula unit
Symmetry = P4/mmm (123)

# 4
Computed, not measured: an optimized crystal structure of BeTcP2O at the PBEsol level of DFT.

Cell and atoms, written as POSCAR:
```
BeTcP2O
1.0
4.6021 0.0000 0.0000
0.0000 4.6021 0.0000
0.0000 0.0000 2.8447
Be Tc P O
1 1 2 1
direct
0.0000 0.0000 0.0000 Be
0.5000 0.5000 0.5000 Tc
0.0000 0.5000 0.0000 P
0.5000 0.0000 0.0000 P
0.0000 0.0000 0.5000 O
```

E_form (uncorrected) = 33 meV per atom
E = -31.93 eV per cell
Total moment = 0.00 μB per formula unit
Symmetry = P4/mmm (123)

# 5
Computed, not measured: an optimized crystal structure of BeTcPO2 at the PBEsol level of DFT.

Cell and atoms, written as POSCAR:
```
BeTcPO2
1.0
3.2780 0.0000 0.0000
0.0000 3.2780 0.0000
0.0000 0.0000 5.3734
Be Tc P O
1 1 1 2
direct
0.0000 0.0000 0.0000 Be
0.5000 0.5000 0.5000 Tc
0.0000 0.0000 0.5000 P
0.0000 0.5000 0.0000 O
0.5000 0.0000 0.0000 O
```

E_form (uncorrected) = -169 meV per atom
E = -32.40 eV per cell
Total moment = 1.57 μB per formula unit
Symmetry = P4/mmm (123)

# 6
Computed, not measured: an optimized crystal structure of BeTeP2O at the PBEsol level of DFT.

Cell and atoms, written as POSCAR:
```
BeTeP2O
1.0
4.9289 0.0000 0.0000
0.0000 4.9289 0.0000
0.0000 0.0000 3.0654
Be Te P O
1 1 2 1
direct
0.0000 0.0000 0.0000 Be
0.5000 0.5000 0.5000 Te
0.0000 0.5000 0.0000 P
0.5000 0.0000 0.0000 P
0.0000 0.0000 0.5000 O
```

E_form (uncorrected) = -47 meV per atom
E = -24.59 eV per cell
Total moment = 0.00 μB per formula unit
Symmetry = P4/mmm (123)

# 7
Computed, not measured: an optimized crystal structure of YBePO2 at the PBEsol level of DFT.

Cell and atoms, written as POSCAR:
```
YBePO2
1.0
4.0741 0.0000 0.0000
0.0000 4.0741 0.0000
0.0000 0.0000 5.8336
Y Be P O
1 1 1 2
direct
0.0000 0.0000 0.0000 Y
0.5000 0.5000 0.5000 Be
0.0000 0.0000 0.5000 P
0.0000 0.5000 0.0000 O
0.5000 0.0000 0.0000 O
```

E_form (uncorrected) = -355 meV per atom
E = -28.89 eV per cell
Total moment = 1.26 μB per formula unit
Symmetry = P4/mmm (123)

# 8
Computed, not measured: an optimized crystal structure of BePbO3 at the PBEsol level of DFT.

Cell and atoms, written as POSCAR:
```
BePbO3
1.0
3.5979 0.0000 0.0000
0.0000 3.5979 0.0000
0.0000 0.0000 3.5979
Be Pb O
1 1 3
direct
0.0000 0.0000 0.0000 Be
0.5000 0.5000 0.5000 Pb
0.0000 0.0000 0.5000 O
0.0000 0.5000 0.0000 O
0.5000 0.0000 0.0000 O
```

E_form (uncorrected) = -1040 meV per atom
E = -28.95 eV per cell
Total moment = 0.47 μB per formula unit
Symmetry = Pm-3m (221)

# 9
Computed, not measured: an optimized crystal structure of BePt2O at the PBEsol level of DFT.

Cell and atoms, written as POSCAR:
```
BePt2O
1.0
5.6399 0.0000 0.0000
0.0000 5.6399 0.0000
0.0000 0.0000 5.6399
Be Pt O
4 8 4
direct
0.0000 0.0000 0.0000 Be
0.0000 0.5000 0.5000 Be
0.5000 0.0000 0.5000 Be
0.5000 0.5000 0.0000 Be
0.2500 0.2500 0.2500 Pt
0.2500 0.2500 0.7500 Pt
0.2500 0.7500 0.2500 Pt
0.2500 0.7500 0.7500 Pt
0.7500 0.2500 0.2500 Pt
0.7500 0.2500 0.7500 Pt
0.7500 0.7500 0.2500 Pt
0.7500 0.7500 0.7500 Pt
0.0000 0.0000 0.5000 O
0.0000 0.5000 0.0000 O
0.5000 0.0000 0.0000 O
0.5000 0.5000 0.5000 O
```

E_form (uncorrected) = 151 meV per atom
E = -90.29 eV per cell
Total moment = 0.00 μB per formula unit
Symmetry = Fm-3m (225)

# 10
Computed, not measured: an optimized crystal structure of Be2PtO at the PBEsol level of DFT.

Cell and atoms, written as POSCAR:
```
Be2PtO
1.0
4.8948 0.0000 0.0000
0.0000 4.8948 0.0000
0.0000 0.0000 6.8130
Be Pt O
8 4 4
direct
0.1371 0.7500 0.1250 Be
0.2500 0.1371 0.8750 Be
0.2500 0.3629 0.3750 Be
0.3629 0.7500 0.6250 Be
0.6371 0.2500 0.6250 Be
0.7500 0.6371 0.3750 Be
0.7500 0.8629 0.8750 Be
0.8629 0.2500 0.1250 Be
0.0000 0.0000 0.5000 Pt
0.0000 0.5000 0.7500 Pt
0.5000 0.0000 0.2500 Pt
0.5000 0.5000 0.0000 Pt
0.0000 0.0000 0.0000 O
0.0000 0.5000 0.2500 O
0.5000 0.0000 0.7500 O
0.5000 0.5000 0.5000 O
```

E_form (uncorrected) = -1184 meV per atom
E = -99.80 eV per cell
Total moment = 0.00 μB per formula unit
Symmetry = I-42d (122)

# 11
Computed, not measured: an optimized crystal structure of BeSbPtO2 at the PBEsol level of DFT.

Cell and atoms, written as POSCAR:
```
BeSbPtO2
1.0
3.7367 0.0000 0.0000
0.0000 3.7367 0.0000
0.0000 0.0000 6.2446
Be Sb Pt O
1 1 1 2
direct
0.0000 0.0000 0.0000 Be
0.0000 0.0000 0.5000 Sb
0.5000 0.5000 0.0000 Pt
0.0000 0.5000 0.5000 O
0.5000 0.0000 0.5000 O
```

E_form (uncorrected) = 290 meV per atom
E = -24.57 eV per cell
Total moment = 0.00 μB per formula unit
Symmetry = P4/mmm (123)

# 12
Computed, not measured: an optimized crystal structure of Rb2Be2O3 at the PBEsol level of DFT.

Cell and atoms, written as POSCAR:
```
Rb2Be2O3
1.0
10.5946 0.0000 0.0000
0.0000 5.3545 0.0000
0.0000 0.0000 7.6762
Rb Be O
8 8 12
direct
0.0864 0.2500 0.1277 Rb
0.1124 0.7500 0.4888 Rb
0.3876 0.2500 0.9888 Rb
0.4136 0.7500 0.6277 Rb
0.5864 0.2500 0.3723 Rb
0.6125 0.7500 0.0112 Rb
0.8876 0.2500 0.5112 Rb
0.9136 0.7500 0.8723 Rb
0.1632 0.2500 0.7192 Be
0.2082 0.7500 0.8898 Be
0.2918 0.2500 0.3898 Be
0.3368 0.7500 0.2192 Be
0.6632 0.2500 0.7808 Be
0.7081 0.7500 0.6102 Be
0.7919 0.2500 0.1102 Be
0.8368 0.7500 0.2808 Be
0.1532 0.5010 0.8194 O
0.1532 0.9990 0.8194 O
0.1786 0.2500 0.5176 O
0.3214 0.7500 0.0176 O
0.3468 0.0010 0.3194 O
0.3468 0.4990 0.3194 O
0.6532 0.5010 0.6806 O
0.6532 0.9990 0.6806 O
0.6786 0.2500 0.9824 O
0.8214 0.7500 0.4824 O
0.8468 0.0010 0.1806 O
0.8468 0.4990 0.1806 O
```

E_form (uncorrected) = -2090 meV per atom
ΔE to the lowest computed polymorph = 0 meV per atom
E = -161.72 eV per cell
Total moment = 0.00 μB per formula unit
Symmetry = Pnma (62)

# 13
Computed, not measured: an optimized crystal structure of Rb3BeO at the PBEsol level of DFT.

Cell and atoms, written as POSCAR:
```
Rb3BeO
1.0
6.0999 0.0000 0.0000
0.0000 6.0999 0.0000
0.0000 0.0000 6.0999
Rb Be O
3 1 1
direct
0.0000 0.0000 0.5000 Rb
0.0000 0.5000 0.0000 Rb
0.5000 0.0000 0.0000 Rb
0.0000 0.0000 0.0000 Be
0.5000 0.5000 0.5000 O
```

E_form (uncorrected) = 746 meV per atom
E = -8.60 eV per cell
Total moment = 1.18 μB per formula unit
Symmetry = Pm-3m (221)

# 14
Computed, not measured: an optimized crystal structure of Rb2Be2O3 at the PBEsol level of DFT.

Cell and atoms, written as POSCAR:
```
Rb2Be2O3
1.0
7.3771 0.0000 0.0000
0.0000 7.3771 0.0000
0.0000 0.0000 7.3892
Rb Be O
8 8 12
direct
0.0013 0.2478 0.3780 Rb
0.2478 0.0013 0.6220 Rb
0.2522 0.5013 0.1280 Rb
0.4987 0.7478 0.3720 Rb
0.5013 0.2522 0.8720 Rb
0.7478 0.4987 0.6280 Rb
0.7522 0.9987 0.1220 Rb
0.9987 0.7522 0.8780 Rb
0.0272 0.2773 0.9015 Be
0.2227 0.5272 0.6515 Be
0.2773 0.0272 0.0985 Be
0.4728 0.7773 0.8485 Be
0.5272 0.2227 0.3485 Be
0.7227 0.9728 0.5985 Be
0.7773 0.4728 0.1515 Be
0.9728 0.7227 0.4015 Be
0.1100 0.1100 0.0000 O
0.1248 0.3592 0.7335 O
0.1408 0.6248 0.4835 O
0.3592 0.1248 0.2665 O
0.3752 0.8592 0.0165 O
0.3900 0.6100 0.7500 O
0.6100 0.3900 0.2500 O
0.6248 0.1408 0.5165 O
0.6408 0.8752 0.7665 O
0.8592 0.3752 0.9835 O
0.8752 0.6408 0.2335 O
0.8900 0.8900 0.5000 O
```

E_form (uncorrected) = -2070 meV per atom
ΔE to the lowest computed polymorph = 20 meV per atom
E = -161.15 eV per cell
Total moment = 0.00 μB per formula unit
Symmetry = P4_32_12 (96)

# 15
Computed, not measured: an optimized crystal structure of Be3ReO at the PBEsol level of DFT.

Cell and atoms, written as POSCAR:
```
Be3ReO
1.0
4.2115 0.0000 0.0000
0.0000 4.2115 0.0000
0.0000 0.0000 4.2115
Be Re O
3 1 1
direct
0.0000 0.0000 0.5000 Be
0.0000 0.5000 0.0000 Be
0.5000 0.0000 0.0000 Be
0.0000 0.0000 0.0000 Re
0.5000 0.5000 0.5000 O
```

E_form (uncorrected) = 1829 meV per atom
E = -21.43 eV per cell
Total moment = 1.38 μB per formula unit
Symmetry = Pm-3m (221)

# 16
Computed, not measured: an optimized crystal structure of BeRh3O at the PBEsol level of DFT.

Cell and atoms, written as POSCAR:
```
BeRh3O
1.0
3.9651 0.0000 0.0000
0.0000 3.9651 0.0000
0.0000 0.0000 3.9651
Be Rh O
1 3 1
direct
0.0000 0.0000 0.0000 Be
0.0000 0.5000 0.5000 Rh
0.5000 0.0000 0.5000 Rh
0.5000 0.5000 0.0000 Rh
0.5000 0.5000 0.5000 O
```

E_form (uncorrected) = 195 meV per atom
E = -32.69 eV per cell
Total moment = 0.00 μB per formula unit
Symmetry = Pm-3m (221)

# 17
Computed, not measured: an optimized crystal structure of Be3RhO at the PBEsol level of DFT.

Cell and atoms, written as POSCAR:
```
Be3RhO
1.0
4.0735 0.0000 0.0000
0.0000 4.0735 0.0000
0.0000 0.0000 4.0735
Be Rh O
3 1 1
direct
0.0000 0.0000 0.5000 Be
0.0000 0.5000 0.0000 Be
0.5000 0.0000 0.0000 Be
0.0000 0.0000 0.0000 Rh
0.5000 0.5000 0.5000 O
```

E_form (uncorrected) = 841 meV per atom
E = -21.18 eV per cell
Total moment = 0.00 μB per formula unit
Symmetry = Pm-3m (221)

# 18
Computed, not measured: an optimized crystal structure of BeRhO2 at the PBEsol level of DFT.

Cell and atoms, written as POSCAR:
```
BeRhO2
1.0
3.3767 0.0000 0.0000
-1.6883 2.9243 0.0000
0.0000 0.0000 13.7863
Be Rh O
3 3 6
direct
0.0000 0.0000 0.0000 Be
0.3333 0.6667 0.6667 Be
0.6667 0.3333 0.3333 Be
0.0000 0.0000 0.5000 Rh
0.3333 0.6667 0.1667 Rh
0.6667 0.3333 0.8333 Rh
0.0000 0.0000 0.1072 O
0.0000 0.0000 0.8928 O
0.3333 0.6667 0.5594 O
0.3333 0.6667 0.7739 O
0.6667 0.3333 0.2261 O
0.6667 0.3333 0.4406 O
```

E_form (uncorrected) = -905 meV per atom
E = -78.77 eV per cell
Total moment = 0.41 μB per formula unit
Symmetry = R-3m (166)

# 19
Computed, not measured: an optimized crystal structure of BeRu3O at the PBEsol level of DFT.

Cell and atoms, written as POSCAR:
```
BeRu3O
1.0
3.9268 0.0000 0.0000
0.0000 3.9268 0.0000
0.0000 0.0000 3.9268
Be Ru O
1 3 1
direct
0.0000 0.0000 0.0000 Be
0.0000 0.5000 0.5000 Ru
0.5000 0.0000 0.5000 Ru
0.5000 0.5000 0.0000 Ru
0.5000 0.5000 0.5000 O
```

E_form (uncorrected) = 313 meV per atom
E = -38.20 eV per cell
Total moment = 0.00 μB per formula unit
Symmetry = Pm-3m (221)

# 20
Computed, not measured: an optimized crystal structure of BeTeRu2O at the PBEsol level of DFT.

Cell and atoms, written as POSCAR:
```
BeTeRu2O
1.0
4.0007 0.0000 0.0000
0.0000 4.0007 0.0000
0.0000 0.0000 4.4567
Be Te Ru O
1 1 2 1
direct
0.0000 0.0000 0.0000 Be
0.5000 0.5000 0.0000 Te
0.0000 0.5000 0.5000 Ru
0.5000 0.0000 0.5000 Ru
0.5000 0.5000 0.5000 O
```

E_form (uncorrected) = 640 meV per atom
E = -29.92 eV per cell
Total moment = 0.00 μB per formula unit
Symmetry = P4/mmm (123)

# 21
Computed, not measured: an optimized crystal structure of BeSO2 at the PBEsol level of DFT.

Cell and atoms, written as POSCAR:
```
BeSO2
1.0
4.5594 0.0000 0.0000
0.0000 4.5594 0.0000
0.0000 0.0000 7.4228
Be S O
4 4 8
direct
0.0000 0.0000 0.0000 Be
0.0000 0.5000 0.2500 Be
0.5000 0.0000 0.7500 Be
0.5000 0.5000 0.5000 Be
0.0000 0.0000 0.5000 S
0.0000 0.5000 0.7500 S
0.5000 0.0000 0.2500 S
0.5000 0.5000 0.0000 S
0.1485 0.7500 0.1250 O
0.2500 0.1485 0.8750 O
0.2500 0.3515 0.3750 O
0.3515 0.7500 0.6250 O
0.6485 0.2500 0.6250 O
0.7500 0.6485 0.3750 O
0.7500 0.8515 0.8750 O
0.8515 0.2500 0.1250 O
```

E_form (uncorrected) = -809 meV per atom
ΔE to the lowest computed polymorph = 0 meV per atom
E = -88.47 eV per cell
Total moment = 0.00 μB per formula unit
Symmetry = I-42d (122)

# 22
Computed, not measured: an optimized crystal structure of BeS2O at the PBEsol level of DFT.

Cell and atoms, written as POSCAR:
```
BeS2O
1.0
5.5897 0.0000 0.0000
0.0000 5.5897 0.0000
0.0000 0.0000 5.5897
Be S O
4 8 4
direct
0.0000 0.0000 0.0000 Be
0.0000 0.5000 0.5000 Be
0.5000 0.0000 0.5000 Be
0.5000 0.5000 0.0000 Be
0.2500 0.2500 0.2500 S
0.2500 0.2500 0.7500 S
0.2500 0.7500 0.2500 S
0.2500 0.7500 0.7500 S
0.7500 0.2500 0.2500 S
0.7500 0.2500 0.7500 S
0.7500 0.7500 0.2500 S
0.7500 0.7500 0.7500 S
0.0000 0.0000 0.5000 O
0.0000 0.5000 0.0000 O
0.5000 0.0000 0.0000 O
0.5000 0.5000 0.5000 O
```

E_form (uncorrected) = 644 meV per atom
E = -61.76 eV per cell
Total moment = 0.00 μB per formula unit
Symmetry = Fm-3m (225)

# 23
Computed, not measured: an optimized crystal structure of BeSO2 at the PBEsol level of DFT.

Cell and atoms, written as POSCAR:
```
BeSO2
1.0
5.2246 0.0000 0.0000
0.0000 5.2246 0.0000
0.0000 0.0000 5.2246
Be S O
4 4 8
direct
0.0000 0.0000 0.0000 Be
0.0000 0.5000 0.5000 Be
0.5000 0.0000 0.5000 Be
0.5000 0.5000 0.0000 Be
0.0000 0.0000 0.5000 S
0.0000 0.5000 0.0000 S
0.5000 0.0000 0.0000 S
0.5000 0.5000 0.5000 S
0.2500 0.2500 0.2500 O
0.2500 0.2500 0.7500 O
0.2500 0.7500 0.2500 O
0.2500 0.7500 0.7500 O
0.7500 0.2500 0.2500 O
0.7500 0.2500 0.7500 O
0.7500 0.7500 0.2500 O
0.7500 0.7500 0.7500 O
```

E_form (uncorrected) = 365 meV per atom
ΔE to the lowest computed polymorph = 1174 meV per atom
E = -69.69 eV per cell
Total moment = 0.00 μB per formula unit
Symmetry = Fm-3m (225)